# 1
# LiLa3Pm2Te6 (PBE-GGA, optimized geometry)
# **Electronic total energy**: -5.227 eV/atom
# **DOS(E_F)**: 4.9 states/eV/cell
# **Magnetization**: 0.000 μB per atom
# **Formation energy from raw total energies**: -17.7 eV per formula unit
# **Calculated density**: 6.3 Mg/m³
# **Calculated volume**: 387.8 Å³ per cell
data_LiLa3Pm2Te6
_chemical_formula_sum 'Li1 La3 Pm2 Te6'
_space_group_name_H-M_alt 'P 1'
_space_group_IT_number 1
_cell_length_a 4.5172
_cell_length_b 8.9758
_cell_length_c 10.0580
_cell_angle_alpha 102.29
_cell_angle_beta 102.98
_cell_angle_gamma 90.00
loop_
_space_group_symop_operation_xyz
'x,y,z'
loop_
_atom_site_label
_atom_site_fract_x
_atom_site_fract_y
_atom_site_fract_z
Li1 0.5000 0.0000 0.0000
La1 0.5000 0.5000 0.0000
La2 0.8328 0.1663 0.6656
La3 0.1672 0.8337 0.3344
Pm1 0.8313 0.6598 0.6627
Pm2 0.1687 0.3402 0.3373
Te1 0.3394 0.9131 0.6788
Te2 0.6668 0.5821 0.3336
Te3 0.6606 0.0869 0.3212
Te4 0.0021 0.2366 0.0043
Te5 0.9979 0.7634 0.9957
Te6 0.3332 0.4179 0.6664



# 2
# AcFeAs (PBE-GGA, optimized geometry)
# **Electronic total energy**: -5.853 eV/atom
# **DOS(E_F)**: 4.3 states/eV/cell
# **Energy relative to the elements**: -0.11 eV/atom
# **Magnetization**: 0.788 μB per atom
# **E above lowest polymorph**: 501 meV/atom
# **Calculated density**: 8.8 Mg/m³
# **Calculated volume**: 67.1 Å³ per cell
data_AcFeAs
_chemical_formula_sum 'Ac1 Fe1 As1'
_space_group_name_H-M_alt 'P 1'
_space_group_IT_number 1
_cell_length_a 3.4793
_cell_length_b 3.4793
_cell_length_c 6.0681
_cell_angle_alpha 106.66
_cell_angle_beta 106.66
_cell_angle_gamma 90.00
loop_
_space_group_symop_operation_xyz
'x,y,z'
loop_
_atom_site_label
_atom_site_fract_x
_atom_site_fract_y
_atom_site_fract_z
Ac1 0.9957 0.9957 0.9914
As1 0.7116 0.7116 0.4232
Fe1 0.2927 0.2927 0.5854



# 3
# TaCuP2Au (PBE-GGA, optimized geometry)
# **Electronic total energy**: -5.060 eV/atom
# **DOS(E_F)**: 4.5 states/eV/cell
# **Energy relative to the elements**: 0.95 eV/atom
# **Magnetization**: 0.117 μB per atom
# **Calculated density**: 9.3 Mg/m³
# **Calculated volume**: 89.8 Å³ per cell
data_TaCuP2Au
_chemical_formula_sum 'Ta1 Cu1 P2 Au1'
_space_group_name_H-M_alt 'P 1'
_space_group_IT_number 1
_cell_length_a 4.3862
_cell_length_b 4.6689
_cell_length_c 4.3862
_cell_angle_alpha 90.00
_cell_angle_beta 90.00
_cell_angle_gamma 90.00
loop_
_space_group_symop_operation_xyz
'x,y,z'
loop_
_atom_site_label
_atom_site_fract_x
_atom_site_fract_y
_atom_site_fract_z
P1 0.0000 0.0000 0.5000
P2 0.5000 0.0000 0.0000
Au1 0.0000 0.5000 0.0000
Cu1 0.0000 0.0000 0.0000
Ta1 0.5000 0.5000 0.5000



# 4
# TaBMo3 (PBE-GGA, optimized geometry)
# **Electronic total energy**: -7.452 eV/atom
# **DOS(E_F)**: 5.4 states/eV/cell
# **Energy relative to the elements**: 2.75 eV/atom
# **Magnetization**: 0.000 μB per atom
# **E above lowest polymorph**: 2605 meV/atom
# **Calculated density**: 7.5 Mg/m³
# **Calculated volume**: 106.2 Å³ per cell
data_TaBMo3
_chemical_formula_sum 'Ta1 B1 Mo3'
_space_group_name_H-M_alt 'P 1'
_space_group_IT_number 1
_cell_length_a 4.7363
_cell_length_b 4.7363
_cell_length_c 4.7363
_cell_angle_alpha 90.00
_cell_angle_beta 90.00
_cell_angle_gamma 90.00
loop_
_space_group_symop_operation_xyz
'x,y,z'
loop_
_atom_site_label
_atom_site_fract_x
_atom_site_fract_y
_atom_site_fract_z
Mo1 0.0000 0.5000 0.0000
Mo2 0.0000 0.0000 0.5000
Mo3 0.5000 0.0000 0.0000
B1 0.5000 0.5000 0.5000
Ta1 0.0000 0.0000 0.0000



# 5
# Ba2NaAg4Pb3 (PBE-GGA, optimized geometry)
# **Electronic total energy**: -3.018 eV/atom
# **DOS(E_F)**: 5.2 states/eV/cell
# **Energy relative to the elements**: -0.25 eV/atom
# **Magnetization**: 0.000 μB per atom
# **Calculated density**: 7.6 Mg/m³
# **Calculated volume**: 295.4 Å³ per cell
data_Ba2NaAg4Pb3
_chemical_formula_sum 'Ba2 Na1 Ag4 Pb3'
_space_group_name_H-M_alt 'P 1'
_space_group_IT_number 1
_cell_length_a 5.0298
_cell_length_b 5.0298
_cell_length_c 11.6760
_cell_angle_alpha 90.00
_cell_angle_beta 90.00
_cell_angle_gamma 90.00
loop_
_space_group_symop_operation_xyz
'x,y,z'
loop_
_atom_site_label
_atom_site_fract_x
_atom_site_fract_y
_atom_site_fract_z
Ba1 0.5000 0.0000 0.2344
Ba2 0.0000 0.5000 0.7656
Na1 0.5000 0.5000 0.5000
Ag1 0.5000 0.5000 0.0000
Ag2 0.0000 0.0000 0.0000
Ag3 0.5000 0.0000 0.6299
Ag4 0.0000 0.5000 0.3701
Pb1 0.0000 0.0000 0.5000
Pb2 0.5000 0.0000 0.8727
Pb3 0.0000 0.5000 0.1273



# 6
# SmZnIr (PBE-GGA, optimized geometry)
# **Electronic total energy**: -5.328 eV/atom
# **DOS(E_F)**: 1.7 states/eV/cell
# **Energy relative to the elements**: -0.38 eV/atom
# **Magnetization**: 0.000 μB per atom
# **Calculated density**: 11.4 Mg/m³
# **Calculated volume**: 59.2 Å³ per cell
data_SmZnIr
_chemical_formula_sum 'Sm1 Zn1 Ir1'
_space_group_name_H-M_alt 'P 1'
_space_group_IT_number 1
_cell_length_a 3.4216
_cell_length_b 3.4216
_cell_length_c 5.6054
_cell_angle_alpha 107.77
_cell_angle_beta 107.77
_cell_angle_gamma 90.00
loop_
_space_group_symop_operation_xyz
'x,y,z'
loop_
_atom_site_label
_atom_site_fract_x
_atom_site_fract_y
_atom_site_fract_z
Zn1 0.5865 0.5865 0.1730
Ir1 0.9699 0.9699 0.9398
Sm1 0.2936 0.2936 0.5873



# 7
# Dy3PdPt2 (PBE-GGA, optimized geometry)
# **Electronic total energy**: -6.302 eV/atom
# **DOS(E_F)**: 3.7 states/eV/cell
# **Energy relative to the elements**: -1.12 eV/atom
# **Magnetization**: 0.000 μB per atom
# **Calculated density**: 12.7 Mg/m³
# **Calculated volume**: 128.3 Å³ per cell
data_Dy3PdPt2
_chemical_formula_sum 'Dy3 Pd1 Pt2'
_space_group_name_H-M_alt 'P 1'
_space_group_IT_number 1
_cell_length_a 3.4898
_cell_length_b 4.9584
_cell_length_c 7.8201
_cell_angle_alpha 108.48
_cell_angle_beta 90.00
_cell_angle_gamma 90.00
loop_
_space_group_symop_operation_xyz
'x,y,z'
loop_
_atom_site_label
_atom_site_fract_x
_atom_site_fract_y
_atom_site_fract_z
Dy1 0.5000 0.5000 0.0000
Dy2 0.5000 0.8311 0.6622
Dy3 0.5000 0.1689 0.3378
Pd1 0.0000 0.0000 0.0000
Pt1 0.0000 0.3361 0.6723
Pt2 0.0000 0.6639 0.3277



# 8
# Ca2LaZn2 (PBE-GGA, optimized geometry)
# **Electronic total energy**: -2.353 eV/atom
# **DOS(E_F)**: 8.1 states/eV/cell
# **Energy relative to the elements**: -0.06 eV/atom
# **Magnetization**: 0.240 μB per atom
# **E above lowest polymorph**: 127 meV/atom
# **Calculated density**: 3.9 Mg/m³
# **Calculated volume**: 148.7 Å³ per cell
data_Ca2LaZn2
_chemical_formula_sum 'Ca2 La1 Zn2'
_space_group_name_H-M_alt 'P 1'
_space_group_IT_number 1
_cell_length_a 4.8034
_cell_length_b 4.8034
_cell_length_c 7.2870
_cell_angle_alpha 70.76
_cell_angle_beta 70.76
_cell_angle_gamma 90.00
loop_
_space_group_symop_operation_xyz
'x,y,z'
loop_
_atom_site_label
_atom_site_fract_x
_atom_site_fract_y
_atom_site_fract_z
Zn1 0.4055 0.4055 0.1891
Zn2 0.5945 0.5945 0.8109
Ca1 0.7500 0.2500 0.5000
Ca2 0.2500 0.7500 0.5000
La1 0.0000 0.0000 0.0000



# 9
# AlRe2BiAu (PBE-GGA, optimized geometry)
# **Electronic total energy**: -5.383 eV/atom
# **DOS(E_F)**: 4.7 states/eV/cell
# **Energy relative to the elements**: 1.78 eV/atom
# **Magnetization**: 0.761 μB per atom
# **Calculated density**: 11.5 Mg/m³
# **Calculated volume**: 116.6 Å³ per cell
data_AlRe2BiAu
_chemical_formula_sum 'Al1 Re2 Bi1 Au1'
_space_group_name_H-M_alt 'P 1'
_space_group_IT_number 1
_cell_length_a 5.0517
_cell_length_b 4.5709
_cell_length_c 5.0517
_cell_angle_alpha 90.00
_cell_angle_beta 90.00
_cell_angle_gamma 90.00
loop_
_space_group_symop_operation_xyz
'x,y,z'
loop_
_atom_site_label
_atom_site_fract_x
_atom_site_fract_y
_atom_site_fract_z
Re1 0.0000 0.0000 0.5000
Re2 0.5000 0.0000 0.0000
Au1 0.0000 0.0000 0.0000
Bi1 0.5000 0.5000 0.5000
Al1 0.0000 0.5000 0.0000



# 10
# ZnCdSe (PBE-GGA, optimized geometry)
# **Electronic total energy**: -2.116 eV/atom
# **DOS(E_F)**: 0.9 states/eV/cell
# **Magnetization**: 0.000 μB per atom
# **Formation energy from raw total energies**: -0.7 eV per formula unit
# **E above lowest polymorph**: 0 meV/atom
# **Calculated density**: 6.4 Mg/m³
# **Calculated volume**: 66.2 Å³ per cell
data_ZnCdSe
_chemical_formula_sum 'Zn1 Cd1 Se1'
_space_group_name_H-M_alt 'P 1'
_space_group_IT_number 1
_cell_length_a 3.8229
_cell_length_b 3.8229
_cell_length_c 5.2328
_cell_angle_alpha 90.00
_cell_angle_beta 90.00
_cell_angle_gamma 120.00
loop_
_space_group_symop_operation_xyz
'x,y,z'
loop_
_atom_site_label
_atom_site_fract_x
_atom_site_fract_y
_atom_site_fract_z
Cd1 0.0000 0.0000 0.9961
Se1 0.6667 0.3333 0.3791
Zn1 0.3333 0.6667 0.6247



# 11
# ZrTa2SiW (PBE-GGA, optimized geometry)
# **Electronic total energy**: -7.830 eV/atom
# **DOS(E_F)**: 5.8 states/eV/cell
# **Magnetization**: 0.000 μB per atom
# **Formation energy from raw total energies**: 11.5 eV per formula unit
# **Calculated density**: 9.6 Mg/m³
# **Calculated volume**: 114.8 Å³ per cell
data_ZrTa2SiW
_chemical_formula_sum 'Zr1 Ta2 Si1 W1'
_space_group_name_H-M_alt 'P 1'
_space_group_IT_number 1
_cell_length_a 4.9008
_cell_length_b 4.7812
_cell_length_c 4.9008
_cell_angle_alpha 90.00
_cell_angle_beta 90.00
_cell_angle_gamma 90.00
loop_
_space_group_symop_operation_xyz
'x,y,z'
loop_
_atom_site_label
_atom_site_fract_x
_atom_site_fract_y
_atom_site_fract_z
Si1 0.5000 0.5000 0.5000
Zr1 0.0000 0.0000 0.0000
W1 0.0000 0.5000 0.0000
Ta1 0.0000 0.0000 0.5000
Ta2 0.5000 0.0000 0.0000



# 12
# Cu2BiAu (PBE-GGA, optimized geometry)
# **Electronic total energy**: -3.705 eV/atom
# **DOS(E_F)**: 1.4 states/eV/cell
# **Energy relative to the elements**: 0.13 eV/atom
# **Magnetization**: 0.000 μB per atom
# **E above lowest polymorph**: 0 meV/atom
# **Calculated density**: 12.1 Mg/m³
# **Calculated volume**: 73.1 Å³ per cell
data_Cu2BiAu
_chemical_formula_sum 'Cu2 Bi1 Au1'
_space_group_name_H-M_alt 'P 1'
_space_group_IT_number 1
_cell_length_a 3.3319
_cell_length_b 3.3319
_cell_length_c 6.5813
_cell_angle_alpha 90.00
_cell_angle_beta 90.00
_cell_angle_gamma 90.00
loop_
_space_group_symop_operation_xyz
'x,y,z'
loop_
_atom_site_label
_atom_site_fract_x
_atom_site_fract_y
_atom_site_fract_z
Au1 0.5000 0.5000 0.0000
Bi1 0.5000 0.5000 0.5000
Cu1 0.0000 0.0000 0.8000
Cu2 0.0000 0.0000 0.2000



Among the records above, which one has the highest electronic total energy? ZnCdSe